Record 1
NaAcS2: relaxed, GGA-PBE.

Properties
energy = -62.1 eV per cell
M_tot = 0.000 μB/f.u.
mass density = 4.5 Mg/m³
ΔE_f (raw) = -1.751 eV/atom
crystal system = trigonal
DOS at the Fermi energy = 0.000 states/eV/atom

Cell lengths 4.3170, 4.3170, 21.5131 Å; angles 90.00, 90.00, 120.00 degrees
Space group R3m (No. 160, hexagonal axes)
Unique sites:
Na: 0.0000 0.0000 0.0000 [3 per cell]
Ac: 0.0000 0.0000 0.8252 [3 per cell]
S: 0.0000 0.0000 0.2347 [3 per cell]
S: 0.0000 0.0000 0.4140 [3 per cell]

=====

Record 2
TaCd3Tc: relaxed, GGA-PBE.

Properties
energy = -16.6 eV per cell
M_tot = 2.108 μB/f.u.
ΔE to the lowest computed polymorph = 0 meV per atom
DFT formation energy = 1.680 eV/atom
mass density = 7.7 Mg/m³
crystal system = cubic
DOS at the Fermi energy = 1.113 states/eV/atom

Cell lengths 5.102, 5.102, 5.102 Å; angles 90.00, 90.00, 90.00 degrees
Space group Pm-3m (No. 221)
Unique sites:
Ta: 0.000 0.000 0.000 [1 per cell]
Cd: 0.000 0.500 0.500 [3 per cell]
Tc: 0.500 0.500 0.500 [1 per cell]

=====

Record 3
Dy4Ni2Pd: relaxed, GGA-PBE.

Properties
energy = -76.7 eV per cell
M_tot = 0.000 μB/f.u.
DFT formation energy = -0.453 eV/atom
mass density = 9.1 Mg/m³
crystal system = triclinic
DOS at the Fermi energy = 0.667 states/eV/atom

Cell lengths 7.305, 7.312, 7.613 Å; angles 110.30, 109.80, 106.59 degrees
Space group P1 (No. 1)
Unique sites:
Dy: 0.000 0.000 0.000 [1 per cell]
Dy: 0.043 0.587 0.631 [1 per cell]
Dy: 0.103 0.643 0.176 [1 per cell]
Dy: 0.239 0.135 0.563 [1 per cell]
Dy: 0.510 0.515 0.455 [1 per cell]
Dy: 0.559 0.731 0.043 [1 per cell]
Dy: 0.614 0.264 0.067 [1 per cell]
Dy: 0.731 0.103 0.588 [1 per cell]
Ni: 0.403 0.041 0.234 [1 per cell]
Ni: 0.732 0.503 0.815 [1 per cell]
Ni: 0.849 0.755 0.396 [1 per cell]
Ni: 0.890 0.163 0.315 [1 per cell]
Pd: 0.212 0.342 0.939 [1 per cell]
Pd: 0.445 0.860 0.691 [1 per cell]

=====

Record 4
ZnSb2AuI: relaxed, GGA-PBE.

Properties
energy = -11.2 eV per cell
M_tot = 1.094 μB/f.u.
ΔE to the lowest computed polymorph = 0 meV per atom
mass density = 6.1 Mg/m³
ΔE_f (raw) = 0.631 eV/atom
crystal system = tetragonal
DOS at the Fermi energy = 1.044 states/eV/atom

Cell lengths 5.447, 5.447, 5.772 Å; angles 90.00, 90.00, 90.00 degrees
Space group P4/mmm (No. 123)
Unique sites:
Zn: 0.000 0.000 0.000 [1 per cell]
Sb: 0.000 0.500 0.500 [2 per cell]
Au: 0.500 0.500 0.500 [1 per cell]
I: 0.500 0.500 0.000 [1 per cell]

=====

Record 5
ZnTe2Au: relaxed, GGA-PBE.

Properties
energy = -11.3 eV per cell
M_tot = 0.000 μB/f.u.
mass density = 7.7 Mg/m³
ΔE_f (raw) = -0.123 eV/atom
crystal system = tetragonal
DOS at the Fermi energy = 0.427 states/eV/atom

Cell lengths 4.177, 4.177, 6.369 Å; angles 90.00, 90.00, 90.00 degrees
Space group P-4m2 (No. 115)
Unique sites:
Zn: 0.000 0.000 0.000 [1 per cell]
Te: 0.000 0.500 0.289 [2 per cell]
Au: 0.500 0.500 0.000 [1 per cell]

=====

Record 6
Hf2ZrGeAs: relaxed, GGA-PBE.

Properties
energy = -35.0 eV per cell
M_tot = 0.000 μB/f.u.
DFT formation energy = 0.553 eV/atom
mass density = 8.2 Mg/m³
crystal system = tetragonal
DOS at the Fermi energy = 1.204 states/eV/atom

Cell lengths 4.999, 4.999, 4.854 Å; angles 90.00, 90.00, 90.00 degrees
Space group P4/mmm (No. 123)
Unique sites:
Hf: 0.000 0.500 0.000 [2 per cell]
Zr: 0.000 0.000 0.500 [1 per cell]
Ge: 0.500 0.500 0.000 [1 per cell]
As: 0.500 0.500 0.500 [1 per cell]

=====

Record 7
Ac3Sc2Ge4: relaxed, GGA-PBE.

Properties
energy = -99.6 eV per cell
M_tot = 0.000 μB/f.u.
ΔE to the lowest computed polymorph = 0 meV per atom
DFT formation energy = -0.704 eV/atom
mass density = 6.9 Mg/m³
crystal system = monoclinic
DOS at the Fermi energy = 0.447 states/eV/atom

Cell lengths 16.120, 4.804, 6.860 Å; angles 90.00, 106.06, 90.00 degrees
Space group C2/m (No. 12)
Unique sites:
Ac: 0.000 0.000 0.000 [2 per cell]
Ac: 0.135 0.000 0.573 [4 per cell]
Sc: 0.165 0.500 0.027 [4 per cell]
Ge: 0.005 0.500 0.696 [4 per cell]
Ge: 0.219 0.000 0.197 [4 per cell]

=====

Record 8
HoInGa2Br6: relaxed, GGA-PBE.

Properties
energy = -34.3 eV per cell
M_tot = 0.000 μB/f.u.
mass density = 4.1 Mg/m³
ΔE_f (raw) = -1.094 eV/atom
crystal system = triclinic
DOS at the Fermi energy = 0.000 states/eV/atom

Cell lengths 7.802, 7.809, 8.301 Å; angles 62.00, 61.99, 60.05 degrees
Space group P1 (No. 1)
Unique sites:
Ho: 0.000 0.000 0.000 [1 per cell]
In: 0.490 0.490 0.530 [1 per cell]
Ga: 0.192 0.192 0.424 [1 per cell]
Ga: 0.684 0.683 0.949 [1 per cell]
Br: 0.074 0.373 0.743 [1 per cell]
Br: 0.243 0.906 0.211 [1 per cell]
Br: 0.373 0.811 0.742 [1 per cell]
Br: 0.640 0.243 0.211 [1 per cell]
Br: 0.810 0.073 0.743 [1 per cell]
Br: 0.906 0.640 0.211 [1 per cell]

=====

Record 9
Ca2FeIr: relaxed, GGA-PBE.

Properties
energy = -80.9 eV per cell
M_tot = 2.986 μB/f.u.
ΔE to the lowest computed polymorph = 302 meV per atom
DFT formation energy = 0.275 eV/atom
mass density = 6.5 Mg/m³
crystal system = cubic
DOS at the Fermi energy = 3.638 states/eV/atom

Cell lengths 6.957, 6.957, 6.957 Å; angles 90.00, 90.00, 90.00 degrees
Space group Fm-3m (No. 225)
Unique sites:
Ca: 0.250 0.250 0.250 [8 per cell]
Fe: 0.000 0.000 0.000 [4 per cell]
Ir: 0.000 0.000 0.500 [4 per cell]

=====

Record 10
K2YPbO4: relaxed, GGA-PBE.

Properties
energy = -47.6 eV per cell
M_tot = 0.000 μB/f.u.
mass density = 5.3 Mg/m³
ΔE_f (raw) = -1.928 eV/atom
crystal system = monoclinic
DOS at the Fermi energy = 0.354 states/eV/atom

Cell lengths 6.137, 3.553, 6.623 Å; angles 90.00, 108.27, 90.00 degrees
Space group P2/m (No. 10)
Unique sites:
K: 0.000 0.000 0.000 [1 per cell]
K: 0.500 0.500 0.000 [1 per cell]
Y: 0.000 0.500 0.500 [1 per cell]
Pb: 0.500 0.000 0.500 [1 per cell]
O: 0.217 0.000 0.692 [2 per cell]
O: 0.257 0.500 0.304 [2 per cell]

=====

Record 11
AlPbSCl2: relaxed, GGA-PBE.

Properties
energy = -18.7 eV per cell
M_tot = 0.000 μB/f.u.
ΔE to the lowest computed polymorph = 0 meV per atom
mass density = 4.9 Mg/m³
ΔE_f (raw) = -0.694 eV/atom
crystal system = tetragonal
DOS at the Fermi energy = 0.368 states/eV/atom

Cell lengths 4.836, 4.836, 4.870 Å; angles 90.00, 90.00, 90.00 degrees
Space group P4/mmm (No. 123)
Unique sites:
Al: 0.000 0.000 0.000 [1 per cell]
Pb: 0.500 0.500 0.500 [1 per cell]
S: 0.000 0.000 0.500 [1 per cell]
Cl: 0.000 0.500 0.000 [2 per cell]

=====

Record 12
PrMg3In3: relaxed, GGA-PBE.

Properties
energy = -30.1 eV per cell
M_tot = 0.000 μB/f.u.
DFT formation energy = 0.389 eV/atom
mass density = 4.0 Mg/m³
crystal system = cubic
DOS at the Fermi energy = 0.964 states/eV/atom

Cell lengths 7.734, 7.734, 7.734 Å; angles 90.00, 90.00, 90.00 degrees
Space group Pm-3n (No. 223)
Unique sites:
Pr: 0.000 0.000 0.000 [2 per cell]
Mg: 0.000 0.250 0.500 [6 per cell]
In: 0.000 0.500 0.250 [6 per cell]

=====

Which of these has the lowest mass density?
PrMg3In3

=====

What is the formula in the tenth record?
K2YPbO4

=====

Look up the mass density of the sixth one.
8.2 Mg/m³